Material: Li2GaNiO4
Method: DFT, GGA+U
State: optimized geometry

The structure belongs to space group P2/m (No. 10); the cell edges are 5.149, 2.876 and 5.181 Å and the angles 90.00°, 110.97° and 90.00°. Symmetry generates all atoms from Li at (0.000, 0.000, 0.000), Li at (0.500, 0.500, 0.000), Ga at (0.000, 0.500, 0.500), Ni at (0.500, 0.000, 0.500), O at (0.231, 0.000, 0.736) and O at (0.270, 0.500, 0.286).

The calculation puts the density of states at the Fermi level at 0.29 states/eV/cell. Its raw total energy is -5.27 eV per atom.